Record 1
# AcDyAgRh

An optimized crystal structure of AcDyAgRh (PBE-GGA, Alexandria via LeMat-Bulk).

N(E_F) in states/eV per atom: 0.91
Volume in Å³ per cell: 401.2
Theoretical density in g/cm³: 9.9
Formation energy in kJ/mol of formula units: -159

Cell: 7.3754 7.3754 7.3754 Å, 90.00 90.00 90.00°
With the nearest neighbours (Å) after each atom.
Space group F-43m (No. 216)
Asymmetric unit:
1 Ac 0.0000 0.0000 0.0000 [4 per cell]  4 Rh 3.19, 4 Ag 3.19
2 Dy 0.0000 0.0000 0.5000 [4 per cell]  4 Rh 3.19, 4 Ag 3.19
3 Ag 0.2500 0.2500 0.2500 [4 per cell]  4 Ac 3.19, 4 Dy 3.19
4 Rh 0.2500 0.2500 0.7500 [4 per cell]  4 Ac 3.19, 4 Dy 3.19

=====

Record 2
# AcDyAgRu

An optimized crystal structure of AcDyAgRu (PBE-GGA, Alexandria via LeMat-Bulk).

N(E_F) in states/eV per atom: 0.80
Volume in Å³ per cell: 392.9
Theoretical density in g/cm³: 10.1
Formation energy in kJ/mol of formula units: -62

Cell: 7.3243 7.3243 7.3243 Å, 90.00 90.00 90.00°
With the nearest neighbours (Å) after each atom.
Space group F-43m (No. 216)
Asymmetric unit:
1 Ac 0.0000 0.0000 0.0000 [4 per cell]  4 Ru 3.17, 4 Ag 3.17
2 Dy 0.0000 0.0000 0.5000 [4 per cell]  4 Ag 3.17, 4 Ru 3.17
3 Ag 0.2500 0.2500 0.2500 [4 per cell]  4 Ac 3.17, 4 Dy 3.17
4 Ru 0.2500 0.2500 0.7500 [4 per cell]  4 Ac 3.17, 4 Dy 3.17

=====

Record 3
# Ac2DyAgS5

An optimized crystal structure of Ac2DyAgS5 (PBE-GGA, Alexandria via LeMat-Bulk).

Volume in Å³ per cell: 881.5
Formation energy (no corrections) in kJ per mole of atoms: -174
Theoretical density in g/cm³: 6.7

Cell: 4.1390 17.2268 12.3636 Å, 90.00 90.00 90.00°
With the nearest neighbours (Å) after each atom.
Space group Cmc2_1 (No. 36)
Asymmetric unit:
1 Ac 0.0000 0.1110 0.0000 [4 per cell]  8 S 3.04-3.27
2 Ac 0.0000 0.1265 0.6221 [4 per cell]  8 S 3.01-3.19
3 Dy 0.0000 0.1951 0.3222 [4 per cell]  6 S 2.65-2.81
4 Ag 0.0000 0.4570 0.7781 [4 per cell]  3 S 2.47-2.48
5 S 0.0000 0.0487 0.3886 [4 per cell]  2 Ag 2.48, 1 Dy 2.65
6 S 0.0000 0.2887 0.9746 [4 per cell]  2 Dy 2.81, 3 Ac 3.08-3.12
7 S 0.0000 0.3065 0.6692 [4 per cell]  2 Dy 2.80, 1 Ag 2.92
8 S 0.0000 0.3549 0.3163 [4 per cell]  1 Dy 2.76
9 S 0.0000 0.4979 0.0881 [4 per cell]  1 Ag 2.47